YPaAgRu: optimized geometry, GGA-PBE.

Properties
The calculation puts the size of the total moment at 0.00 μB per formula unit. Its uncorrected energy is -7.123 eV per atom. The calculation puts the formation energy at -0.41 eV/f.u. Its space group is F-43m (216).

Lattice parameters (Å, degrees): 4.981 4.981 4.981 60.00 60.00 60.00
Fractional coordinates of all 4 atoms:
Ag 0.250 0.250 0.250
Ru 0.750 0.750 0.750
Y 0.000 0.000 0.000
Pa 0.500 0.500 0.500

---

LiNd5S6: optimized geometry, GGA-PBE.

Properties
The calculation puts the size of the total moment at 0.00 μB per formula unit. Its uncorrected energy is -6.167 eV per atom. Its space group is C2/m (12). The value obtained for the formation energy without anion corrections is -1.957 eV per atom.

Lattice parameters (Å, degrees): 6.999 6.988 6.991 60.01 80.39 70.50
Fractional coordinates of all 12 atoms:
S 0.756 0.081 0.324
S 0.244 0.919 0.676
S 0.242 0.241 0.000
S 0.756 0.405 0.676
Nd 0.500 0.500 0.000
Nd 0.000 0.334 0.331
Nd 0.000 0.666 0.669
Li 0.000 0.000 0.000
Nd 0.500 0.834 0.332
S 0.758 0.759 0.000
Nd 0.500 0.166 0.668
S 0.244 0.595 0.324

---

Li2SiI: optimized geometry, GGA-PBE.

Properties
The calculation puts the size of the total moment at 0.63 μB per formula unit. Its uncorrected energy is -2.828 eV per atom. Its space group is R-3m (166). The value obtained for the formation energy without anion corrections is -0.128 eV per atom. The value obtained for the energy relative to the lowest polymorph listed for this composition is 0 meV per atom.

Lattice parameters (Å, degrees): 3.701 3.701 8.081 76.76 76.76 60.00
Fractional coordinates of all 4 atoms:
Si 0.000 0.000 0.000
I 0.500 0.500 0.500
Li 0.754 0.754 0.737
Li 0.246 0.246 0.263

---

Zr4PbN: optimized geometry, GGA-PBE.

Properties
The calculation puts the size of the total moment at 0.00 μB per formula unit. Its uncorrected energy is -8.162 eV per atom. Its space group is P2_1/c (14). The value obtained for the formation energy without anion corrections is -0.457 eV per atom. The value obtained for the energy relative to the lowest polymorph listed for this composition is 127 meV per atom.

Lattice parameters (Å, degrees): 5.793 5.936 7.549 90.00 78.08 90.00
Fractional coordinates of all 12 atoms:
Zr 0.530 0.091 0.776
N 0.000 0.500 0.500
Zr 0.364 0.348 0.420
Zr 0.136 0.848 0.580
Zr 0.470 0.909 0.224
Zr 0.970 0.591 0.224
Zr 0.864 0.152 0.420
Zr 0.636 0.652 0.580
Zr 0.030 0.409 0.776
N 0.500 0.000 0.500
Pb 0.000 0.000 0.000
Pb 0.500 0.500 0.000

---

TlSi2Tc: optimized geometry, GGA-PBE.

Properties
The calculation puts the size of the total moment at 0.00 μB per formula unit. Its uncorrected energy is -5.366 eV per atom. Its space group is Imm2 (44). The value obtained for the formation energy without anion corrections is 0.529 eV per atom. The value obtained for the energy relative to the lowest polymorph listed for this composition is 501 meV per atom.

Lattice parameters (Å, degrees): 5.236 5.236 5.236 144.31 124.23 67.99
Fractional coordinates of all 4 atoms:
Si 0.971 0.971 0.000
Tc 0.533 0.533 0.000
Si 0.747 0.247 0.500
Tl 0.249 0.749 0.500

---

Cs2Sc3Br10: optimized geometry, GGA-PBE.

Properties
The calculation puts the size of the total moment at 1.10 μB per formula unit. Its uncorrected energy is -4.194 eV per atom. Its space group is C2/m (12). The value obtained for the formation energy without anion corrections is -1.699 eV per atom.

Lattice parameters (Å, degrees): 7.851 10.833 13.488 110.69 106.92 90.00
Fractional coordinates of all 30 atoms:
Br 0.863 0.039 0.221
Br 0.130 0.752 0.259
Cs 0.729 0.320 0.458
Br 0.483 0.823 0.966
Sc 0.922 0.518 0.844
Br 0.137 0.961 0.779
Br 0.766 0.719 0.531
Cs 0.620 0.738 0.240
Br 0.894 0.462 0.278
Cs 0.271 0.680 0.542
Br 0.358 0.039 0.221
Br 0.384 0.462 0.278
Br 0.019 0.196 0.038
Br 0.500 0.000 0.500
Sc 0.181 0.029 0.362
Br 0.616 0.538 0.722
Br 0.517 0.177 0.034
Sc 0.078 0.482 0.156
Br 0.981 0.804 0.962
Sc 0.759 0.000 0.000
Sc 0.241 0.000 0.000
Br 0.226 0.500 0.000
Br 0.000 0.000 0.500
Br 0.106 0.538 0.722
Br 0.642 0.961 0.779
Br 0.870 0.248 0.741
Br 0.234 0.281 0.469
Cs 0.380 0.262 0.760
Sc 0.819 0.971 0.638
Br 0.774 0.500 0.000

---

La5Dy2Ho4: optimized geometry, GGA-PBE.

Properties
The calculation puts the size of the total moment at 0.00 μB per formula unit. Its uncorrected energy is -4.662 eV per atom. The calculation puts the formation energy at 0.88 eV/f.u. Its space group is C2/m (12). The value obtained for the energy relative to the lowest polymorph listed for this composition is 0 meV per atom.

Lattice parameters (Å, degrees): 3.567 11.744 9.088 93.83 101.32 90.00
Fractional coordinates of all 11 atoms:
Dy 0.716 0.350 0.431
Ho 0.964 0.738 0.929
La 0.177 0.072 0.353
Dy 0.284 0.650 0.569
La 0.903 0.465 0.806
La 0.823 0.928 0.647
Ho 0.360 0.203 0.719
La 0.097 0.535 0.194
Ho 0.640 0.797 0.281
Ho 0.036 0.262 0.071
La 0.500 0.000 0.000

---

Nd3AgPd: optimized geometry, GGA-PBE.

Properties
The calculation puts the size of the total moment at 0.00 μB per formula unit. Its uncorrected energy is -4.718 eV per atom. The calculation puts the formation energy at -1.24 eV/f.u. Its space group is Amm2 (38). The value obtained for the energy relative to the lowest polymorph listed for this composition is 100 meV per atom.

Lattice parameters (Å, degrees): 4.025 9.065 9.069 67.14 90.00 90.00
Fractional coordinates of all 10 atoms:
Nd 0.864 0.000 0.675
Nd 0.863 0.766 0.440
Pd 0.364 0.194 0.746
Pd 0.363 0.694 0.246
Ag 0.863 0.194 0.247
Nd 0.363 0.353 0.405
Nd 0.363 0.036 0.088
Nd 0.863 0.622 0.053
Nd 0.864 0.388 0.818
Ag 0.363 0.694 0.746

---

Y3Sb: optimized geometry, GGA-PBE.

Properties
The calculation puts the size of the total moment at 0.00 μB per formula unit. Its uncorrected energy is -6.374 eV per atom. Its space group is Immm (71). The value obtained for the formation energy without anion corrections is -0.496 eV per atom. The value obtained for the energy relative to the lowest polymorph listed for this composition is 127 meV per atom.

Lattice parameters (Å, degrees): 4.028 5.193 6.530 113.43 107.97 90.00
Fractional coordinates of all 4 atoms:
Y 0.717 0.133 0.434
Y 0.283 0.700 0.566
Y 0.500 0.417 0.000
Sb 0.000 0.917 0.000

---

YZr8Ir6: optimized geometry, GGA-PBE.

Properties
The calculation puts the size of the total moment at 0.00 μB per formula unit. Its uncorrected energy is -9.138 eV per atom. The calculation puts the formation energy at -9.05 eV/f.u. Its space group is R-3 (148).

Lattice parameters (Å, degrees): 6.984 6.984 6.984 75.43 75.43 75.43
Fractional coordinates of all 15 atoms:
Ir 0.603 0.270 0.028
Zr 0.618 0.618 0.618
Zr 0.237 0.409 0.952
Ir 0.028 0.603 0.270
Zr 0.591 0.048 0.763
Zr 0.952 0.237 0.409
Y 0.000 0.000 0.000
Zr 0.048 0.763 0.591
Zr 0.763 0.591 0.048
Zr 0.409 0.952 0.237
Ir 0.730 0.972 0.397
Zr 0.382 0.382 0.382
Ir 0.972 0.397 0.730
Ir 0.397 0.730 0.972
Ir 0.270 0.028 0.603

---

ZnSb2Pb: optimized geometry, GGA-PBE.

Properties
The calculation puts the size of the total moment at 0.00 μB per formula unit. Its uncorrected energy is -3.095 eV per atom. Its space group is Cmmm (65). The value obtained for the formation energy without anion corrections is 0.211 eV per atom.

Lattice parameters (Å, degrees): 5.857 5.857 3.348 90.00 90.00 110.71
Fractional coordinates of all 4 atoms:
Sb 0.000 0.000 0.000
Sb 0.500 0.500 0.000
Zn 0.500 0.000 0.500
Pb 0.000 0.500 0.500

---

ThAl2Cu4Si: optimized geometry, GGA-PBE.

Properties
The calculation puts the size of the total moment at 0.00 μB per formula unit. Its uncorrected energy is -4.794 eV per atom. Its space group is R-3m (166). The value obtained for the formation energy without anion corrections is -0.205 eV per atom.

Lattice parameters (Å, degrees): 4.142 4.142 8.967 76.65 76.65 60.00
Fractional coordinates of all 8 atoms:
Cu 0.132 0.132 0.604
Th 0.000 0.000 0.000
Al 0.755 0.755 0.734
Cu 0.408 0.408 0.777
Si 0.500 0.500 0.500
Cu 0.592 0.592 0.223
Cu 0.868 0.868 0.396
Al 0.245 0.245 0.266